A geometry-optimized AcNbGe structure, computed with PBE-GGA.

Results
ΔE_f: -0.10 eV per formula unit
distance to the lowest polymorph of the same formula: 0.441 eV/atom
calculated total energy: -18.90 eV for the cell shown

Cell lengths 4.5737, 4.5737, 4.5069 Å; angles 90.00, 90.00, 120.00 degrees
Space group P-6m2 (No. 187)
Inequivalent atoms, fractional coordinates:
Ac (0.0000, 0.0000, 0.0000) (multiplicity 1)
Nb (0.6667, 0.3333, 0.5000) (multiplicity 1)
Ge (0.3333, 0.6667, 0.5000) (multiplicity 1)


A geometry-optimized AcNb2Ge2 structure, computed with PBE-GGA.

Results
ΔE_f: -2.67 eV per formula unit
calculated total energy: -72.31 eV for the cell shown

Cell lengths 4.218, 4.218, 12.432 Å; angles 90.00, 90.00, 90.00 degrees
Space group I4/mmm (No. 139)
Inequivalent atoms, fractional coordinates:
Ac (0.000, 0.000, 0.000) (multiplicity 2)
Nb (0.000, 0.500, 0.250) (multiplicity 4)
Ge (0.000, 0.000, 0.388) (multiplicity 4)


Volume values (in Å³ per atom) by entry order: 27.22 22.12.
DOS at the Fermi energy values (in states/eV/cell) by entry order: 3.459 4.901.